Li3CePm2S6 | GGA-PBE | relaxed

Structure (CIF):
```
data_Li3CePm2S6
_chemical_formula_sum 'Li6 Ce2 Pm4 S12'
_cell_length_a 6.992
_cell_length_b 12.110
_cell_length_c 6.619
_cell_angle_alpha 90.00
_cell_angle_beta 110.63
_cell_angle_gamma 90.00
_symmetry_space_group_name_H-M 'C 1 2/m 1'
_symmetry_Int_Tables_number 12
loop_
_symmetry_equiv_pos_as_xyz
'x,y,z'
'-x,-y,-z'
'-x,y,-z'
'x,-y,z'
'x+1/2,y+1/2,z'
'-x+1/2,-y+1/2,-z'
'-x+1/2,y+1/2,-z'
'x+1/2,-y+1/2,z'
loop_
_atom_site_label
_atom_site_type_symbol
_atom_site_fract_x
_atom_site_fract_y
_atom_site_fract_z
Li1 Li 0.000 0.000 0.000
Li2 Li 0.000 0.333 0.000
Ce1 Ce 0.000 0.500 0.500
Pm1 Pm 0.000 0.167 0.500
S1 S 0.248 0.167 0.244
S2 S 0.248 0.500 0.244
```

size of the total moment	1.0	μB per formula unit
DOS at the Fermi energy	0.45	states/eV/atom
total DFT energy (no corrections)	-5.599	eV per atom

---

LiCePm2S4 | GGA-PBE | relaxed

Structure (CIF):
```
data_LiCePm2S4
_chemical_formula_sum 'Li1 Ce1 Pm2 S4'
_cell_length_a 6.897
_cell_length_b 4.003
_cell_length_c 6.936
_cell_angle_alpha 90.00
_cell_angle_beta 109.50
_cell_angle_gamma 90.00
_symmetry_space_group_name_H-M 'P 1 2/m 1'
_symmetry_Int_Tables_number 10
loop_
_symmetry_equiv_pos_as_xyz
'x,y,z'
'-x,-y,-z'
'-x,y,-z'
'x,-y,z'
loop_
_atom_site_label
_atom_site_type_symbol
_atom_site_fract_x
_atom_site_fract_y
_atom_site_fract_z
Li1 Li 0.000 0.000 0.000
Ce1 Ce 0.500 0.500 0.000
Pm1 Pm 0.000 0.500 0.500
Pm2 Pm 0.500 0.000 0.500
S1 S 0.244 0.500 0.243
S2 S 0.245 0.000 0.755
```

size of the total moment	1.0	μB per formula unit
DOS at the Fermi energy	0.84	states/eV/atom
total DFT energy (no corrections)	-6.148	eV per atom

---

LiCePmS3 | GGA-PBE | relaxed

Structure (CIF):
```
data_LiCePmS3
_chemical_formula_sum 'Li2 Ce2 Pm2 S6'
_cell_length_a 8.283
_cell_length_b 3.903
_cell_length_c 8.545
_cell_angle_alpha 90.00
_cell_angle_beta 101.84
_cell_angle_gamma 90.00
_symmetry_space_group_name_H-M 'P 1 21/m 1'
_symmetry_Int_Tables_number 11
loop_
_symmetry_equiv_pos_as_xyz
'x,y,z'
'-x,-y,-z'
'-x,y+1/2,-z'
'x,-y+1/2,z'
loop_
_atom_site_label
_atom_site_type_symbol
_atom_site_fract_x
_atom_site_fract_y
_atom_site_fract_z
Li1 Li 0.087 0.250 0.083
Ce1 Ce 0.178 0.250 0.717
Pm1 Pm 0.339 0.750 0.333
S1 S 0.095 0.250 0.364
S2 S 0.207 0.750 0.992
S3 S 0.418 0.750 0.673
```

size of the total moment	1.2	μB per formula unit
DOS at the Fermi energy	1.22	states/eV/atom
total DFT energy (no corrections)	-5.969	eV per atom

---

Li3Ce2PmSe6 | GGA-PBE | relaxed

Structure (CIF):
```
data_Li3Ce2PmSe6
_chemical_formula_sum 'Li6 Ce4 Pm2 Se12'
_cell_length_a 7.278
_cell_length_b 12.607
_cell_length_c 6.939
_cell_angle_alpha 90.00
_cell_angle_beta 110.44
_cell_angle_gamma 90.00
_symmetry_space_group_name_H-M 'C 1 2/m 1'
_symmetry_Int_Tables_number 12
loop_
_symmetry_equiv_pos_as_xyz
'x,y,z'
'-x,-y,-z'
'-x,y,-z'
'x,-y,z'
'x+1/2,y+1/2,z'
'-x+1/2,-y+1/2,-z'
'-x+1/2,y+1/2,-z'
'x+1/2,-y+1/2,z'
loop_
_atom_site_label
_atom_site_type_symbol
_atom_site_fract_x
_atom_site_fract_y
_atom_site_fract_z
Li1 Li 0.000 0.000 0.000
Li2 Li 0.000 0.335 0.000
Ce1 Ce 0.000 0.167 0.500
Pm1 Pm 0.000 0.500 0.500
Se1 Se 0.246 0.500 0.241
Se2 Se 0.247 0.166 0.241
```

size of the total moment	2.0	μB per formula unit
DOS at the Fermi energy	1.06	states/eV/atom
total DFT energy (no corrections)	-5.228	eV per atom

---

LiCePmSe3 | GGA-PBE | relaxed

Structure (CIF):
```
data_LiCePmSe3
_chemical_formula_sum 'Li2 Ce2 Pm2 Se6'
_cell_length_a 8.618
_cell_length_b 4.065
_cell_length_c 8.950
_cell_angle_alpha 90.00
_cell_angle_beta 102.52
_cell_angle_gamma 90.00
_symmetry_space_group_name_H-M 'P 1 21/m 1'
_symmetry_Int_Tables_number 11
loop_
_symmetry_equiv_pos_as_xyz
'x,y,z'
'-x,-y,-z'
'-x,y+1/2,-z'
'x,-y+1/2,z'
loop_
_atom_site_label
_atom_site_type_symbol
_atom_site_fract_x
_atom_site_fract_y
_atom_site_fract_z
Li1 Li 0.087 0.250 0.084
Ce1 Ce 0.181 0.250 0.722
Pm1 Pm 0.336 0.750 0.337
Se1 Se 0.093 0.250 0.367
Se2 Se 0.214 0.750 0.995
Se3 Se 0.423 0.750 0.677
```

size of the total moment	1.3	μB per formula unit
DOS at the Fermi energy	1.32	states/eV/atom
total DFT energy (no corrections)	-5.501	eV per atom

---

LiCe3Pm3Se8 | GGA-PBE | relaxed

Structure (CIF):
```
data_LiCe3Pm3Se8
_chemical_formula_sum 'Li3 Ce9 Pm9 Se24'
_cell_length_a 8.3310
_cell_length_b 8.3310
_cell_length_c 20.4918
_cell_angle_alpha 90.00
_cell_angle_beta 90.00
_cell_angle_gamma 120.00
_symmetry_space_group_name_H-M 'R -3 m'
_symmetry_Int_Tables_number 166
_symmetry_space_group_name_Hall '-R 3 2"'
loop_
_atom_site_label
_atom_site_type_symbol
_atom_site_fract_x
_atom_site_fract_y
_atom_site_fract_z
Li1 Li 0.0000 0.0000 0.0000
Ce1 Ce 0.0000 0.5000 0.0000
Pm1 Pm 0.0000 0.5000 0.5000
Se1 Se 0.0000 0.0000 0.2494
Se2 Se 0.0062 0.5031 0.7482
```

size of the total moment	2.7	μB per formula unit
DOS at the Fermi energy	1.44	states/eV/atom
total DFT energy (no corrections)	-5.906	eV per atom

---

Li3CePm2Se6 | GGA-PBE | relaxed

Structure (CIF):
```
data_Li3CePm2Se6
_chemical_formula_sum 'Li6 Ce2 Pm4 Se12'
_cell_length_a 7.256
_cell_length_b 12.570
_cell_length_c 6.945
_cell_angle_alpha 90.00
_cell_angle_beta 110.35
_cell_angle_gamma 90.00
_symmetry_space_group_name_H-M 'C 1 2/m 1'
_symmetry_Int_Tables_number 12
loop_
_symmetry_equiv_pos_as_xyz
'x,y,z'
'-x,-y,-z'
'-x,y,-z'
'x,-y,z'
'x+1/2,y+1/2,z'
'-x+1/2,-y+1/2,-z'
'-x+1/2,y+1/2,-z'
'x+1/2,-y+1/2,z'
loop_
_atom_site_label
_atom_site_type_symbol
_atom_site_fract_x
_atom_site_fract_y
_atom_site_fract_z
Li1 Li 0.000 0.000 0.000
Li2 Li 0.000 0.332 0.000
Ce1 Ce 0.000 0.500 0.500
Pm1 Pm 0.000 0.167 0.500
Se1 Se 0.247 0.167 0.241
Se2 Se 0.248 0.500 0.241
```

size of the total moment	1.0	μB per formula unit
DOS at the Fermi energy	0.47	states/eV/atom
total DFT energy (no corrections)	-5.154	eV per atom

---

LiCe3Pm2Se6 | GGA-PBE | relaxed

Structure (CIF):
```
data_LiCe3Pm2Se6
_chemical_formula_sum 'Li2 Ce6 Pm4 Se12'
_cell_length_a 7.222
_cell_length_b 12.525
_cell_length_c 7.243
_cell_angle_alpha 90.00
_cell_angle_beta 109.53
_cell_angle_gamma 90.00
_symmetry_space_group_name_H-M 'C 1 2/m 1'
_symmetry_Int_Tables_number 12
loop_
_symmetry_equiv_pos_as_xyz
'x,y,z'
'-x,-y,-z'
'-x,y,-z'
'x,-y,z'
'x+1/2,y+1/2,z'
'-x+1/2,-y+1/2,-z'
'-x+1/2,y+1/2,-z'
'x+1/2,-y+1/2,z'
loop_
_atom_site_label
_atom_site_type_symbol
_atom_site_fract_x
_atom_site_fract_y
_atom_site_fract_z
Li1 Li 0.000 0.000 0.000
Ce1 Ce 0.000 0.169 0.500
Ce2 Ce 0.000 0.500 0.500
Pm1 Pm 0.000 0.334 0.000
Se1 Se 0.241 0.000 0.756
Se2 Se 0.241 0.161 0.241
```

size of the total moment	3.2	μB per formula unit
DOS at the Fermi energy	1.71	states/eV/atom
total DFT energy (no corrections)	-5.942	eV per atom

---

LiCePm2Se4 | GGA-PBE | relaxed

Structure (CIF):
```
data_LiCePm2Se4
_chemical_formula_sum 'Li1 Ce1 Pm2 Se4'
_cell_length_a 7.192
_cell_length_b 4.163
_cell_length_c 7.229
_cell_angle_alpha 90.00
_cell_angle_beta 109.45
_cell_angle_gamma 90.00
_symmetry_space_group_name_H-M 'P 1 2/m 1'
_symmetry_Int_Tables_number 10
loop_
_symmetry_equiv_pos_as_xyz
'x,y,z'
'-x,-y,-z'
'-x,y,-z'
'x,-y,z'
loop_
_atom_site_label
_atom_site_type_symbol
_atom_site_fract_x
_atom_site_fract_y
_atom_site_fract_z
Li1 Li 0.000 0.000 0.000
Ce1 Ce 0.500 0.500 0.000
Pm1 Pm 0.000 0.500 0.500
Pm2 Pm 0.500 0.000 0.500
Se1 Se 0.241 0.500 0.242
Se2 Se 0.244 0.000 0.755
```

size of the total moment	1.2	μB per formula unit
DOS at the Fermi energy	0.93	states/eV/atom
total DFT energy (no corrections)	-5.666	eV per atom

---

LiCe3Pm4Se8 | GGA-PBE | relaxed

Structure (CIF):
```
data_LiCe3Pm4Se8
_chemical_formula_sum 'Li3 Ce9 Pm12 Se24'
_cell_length_a 8.3605
_cell_length_b 8.3605
_cell_length_c 20.5149
_cell_angle_alpha 90.00
_cell_angle_beta 90.00
_cell_angle_gamma 120.00
_symmetry_space_group_name_H-M 'R -3 m'
_symmetry_Int_Tables_number 166
_symmetry_space_group_name_Hall '-R 3 2"'
loop_
_atom_site_label
_atom_site_type_symbol
_atom_site_fract_x
_atom_site_fract_y
_atom_site_fract_z
Li1 Li 0.0000 0.0000 0.0000
Ce1 Ce 0.0000 0.5000 0.0000
Pm1 Pm 0.0000 0.0000 0.5000
Pm2 Pm 0.0000 0.5000 0.5000
Se1 Se 0.0000 0.0000 0.2498
Se2 Se 0.0082 0.5041 0.7482
```

size of the total moment	3.1	μB per formula unit
DOS at the Fermi energy	1.36	states/eV/atom
total DFT energy (no corrections)	-5.955	eV per atom

---

Li2CePmSe4 | GGA-PBE | relaxed

Structure (CIF):
```
data_Li2CePmSe4
_chemical_formula_sum 'Li2 Ce1 Pm1 Se4'
_cell_length_a 6.940
_cell_length_b 4.199
_cell_length_c 7.265
_cell_angle_alpha 90.00
_cell_angle_beta 110.36
_cell_angle_gamma 90.00
_symmetry_space_group_name_H-M 'P 1 2/m 1'
_symmetry_Int_Tables_number 10
loop_
_symmetry_equiv_pos_as_xyz
'x,y,z'
'-x,-y,-z'
'-x,y,-z'
'x,-y,z'
loop_
_atom_site_label
_atom_site_type_symbol
_atom_site_fract_x
_atom_site_fract_y
_atom_site_fract_z
Li1 Li 0.000 0.000 0.000
Li2 Li 0.000 0.500 0.500
Ce1 Ce 0.500 0.000 0.500
Pm1 Pm 0.500 0.500 0.000
Se1 Se 0.241 0.000 0.748
Se2 Se 0.241 0.500 0.246
```

size of the total moment	1.0	μB per formula unit
DOS at the Fermi energy	0.79	states/eV/atom
total DFT energy (no corrections)	-5.190	eV per atom

---

LiCe2Pm3Se6 | GGA-PBE | relaxed

Structure (CIF):
```
data_LiCe2Pm3Se6
_chemical_formula_sum 'Li2 Ce4 Pm6 Se12'
_cell_length_a 7.210
_cell_length_b 12.518
_cell_length_c 7.244
_cell_angle_alpha 90.00
_cell_angle_beta 109.58
_cell_angle_gamma 90.00
_symmetry_space_group_name_H-M 'C 1 2/m 1'
_symmetry_Int_Tables_number 12
loop_
_symmetry_equiv_pos_as_xyz
'x,y,z'
'-x,-y,-z'
'-x,y,-z'
'x,-y,z'
'x+1/2,y+1/2,z'
'-x+1/2,-y+1/2,-z'
'-x+1/2,y+1/2,-z'
'x+1/2,-y+1/2,z'
loop_
_atom_site_label
_atom_site_type_symbol
_atom_site_fract_x
_atom_site_fract_y
_atom_site_fract_z
Li1 Li 0.000 0.000 0.000
Ce1 Ce 0.000 0.335 0.000
Pm1 Pm 0.000 0.167 0.500
Pm2 Pm 0.000 0.500 0.500
Se1 Se 0.242 0.000 0.756
Se2 Se 0.243 0.162 0.244
```

size of the total moment	2.0	μB per formula unit
DOS at the Fermi energy	1.31	states/eV/atom
total DFT energy (no corrections)	-5.857	eV per atom